Entry 1:
ScCdSe2 at its PBEsol-relaxed geometry. Source: Alexandria via LeMat-Bulk, functional meta-GGA SCAN.

Geometry as POSCAR:
```
ScCdSe2
1.0
1.9013 1.0977 7.0295
-1.9013 1.0977 7.0295
0.0000 -2.1954 7.0295
Sc Cd Se
1 1 2
Direct
0.0000 0.0000 0.0000 Sc
0.5000 0.5000 0.5000 Cd
0.2578 0.2578 0.2578 Se
0.7422 0.7422 0.7422 Se
```

Calculated values
Space group   No. 166
Formation energy (no corrections)   -1171 meV/atom
Crystal system   trigonal

Entry 2:
ScCdSe2 at its PBEsol-relaxed geometry. Source: Alexandria via LeMat-Bulk, functional meta-GGA SCAN.

Geometry as POSCAR:
```
ScCdSe2
1.0
3.4612 0.0000 0.0000
0.0000 3.4711 0.0000
-0.6844 0.0000 6.7937
Sc Cd Se
1 1 2
Direct
0.0000 0.0000 0.0000 Sc
0.0000 0.0000 0.5000 Cd
0.4154 0.5000 0.7764 Se
0.5846 0.5000 0.2236 Se
```

Calculated values
Space group   No. 10
Formation energy (no corrections)   -955 meV/atom
Crystal system   monoclinic

What is the formation energy (no corrections) in the first record? -1171 meV/atom